Below is CrNiP after structural relaxation, with properties calculated at the GGA-PBE level.

POSCAR file:
```
CrNiP
1.0
2.152 -1.422 0.000
2.152 1.422 0.000
-0.048 0.000 5.668
Cr Ni P
1 1 1
Direct
0.000 0.000 0.000 Cr
0.368 0.368 0.643 Ni
0.674 0.674 0.324 P
```

* space-group type: Cm, No. 8
* energy relative to the elements: -0.001 eV/atom
* E_tot: -6.94 eV per atom
* magnetic moment: 0.0000 μB per atom
* V: 35 Å³ per cell


Below is Cr4NiP after structural relaxation, with properties calculated at the GGA-PBE level.

POSCAR file:
```
Cr4NiP
1.0
0.000 3.301 3.301
3.301 0.000 3.301
3.301 3.301 0.000
Cr Ni P
4 1 1
Direct
0.125 0.125 0.125 Cr
0.125 0.125 0.626 Cr
0.125 0.626 0.125 Cr
0.626 0.125 0.125 Cr
0.750 0.750 0.750 Ni
0.500 0.500 0.500 P
```

* space-group type: F-43m, No. 216
* energy relative to the elements: 0.390 eV/atom
* E_tot: -7.89 eV per atom
* magnetic moment: 0.0000 μB per atom
* V: 72 Å³ per cell